(1)
Material: Co9Cu3O16
Method: DFT, GGA-PBEsol
State: relaxed

## Properties
Uncorrected formation energy ... -1.0031 eV per atom

a = 5.648 Å, b = 5.648 Å, c = 7.999 Å
α = 90.00°, β = 90.00°, γ = 90.00°
Atoms (fractional coordinates):
Co  0.000  0.000  0.000
Co  0.000  0.250  0.375
Co  0.000  0.750  0.375
Co  0.250  0.000  0.625
Co  0.251  0.500  0.124
Co  0.500  0.251  0.876
Co  0.500  0.749  0.876
Co  0.749  0.500  0.124
Co  0.750  0.000  0.625
Cu  0.000  0.500  0.748
Cu  0.500  0.000  0.252
Cu  0.500  0.500  0.500
O  0.000  0.221  0.610
O  0.000  0.273  0.136
O  0.000  0.727  0.136
O  0.000  0.779  0.610
O  0.221  0.000  0.390
O  0.221  0.500  0.359
O  0.273  0.000  0.864
O  0.279  0.500  0.889
O  0.500  0.221  0.641
O  0.500  0.279  0.111
O  0.500  0.721  0.111
O  0.500  0.779  0.641
O  0.721  0.500  0.889
O  0.727  0.000  0.864
O  0.779  0.000  0.390
O  0.779  0.500  0.359


(2)
Material: ZnCo2Ir
Method: DFT, GGA-PBEsol
State: relaxed

## Properties
Energy relative to the elements ... 0.047 eV per atom

a = 2.629 Å, b = 3.520 Å, c = 5.221 Å
α = 90.00°, β = 90.00°, γ = 90.00°
Atoms (fractional coordinates):
Zn  0.000  0.000  0.000
Co  0.000  0.000  0.475
Co  0.500  0.500  0.246
Ir  0.500  0.500  0.728